[1]
Computed, not measured: an optimized crystal structure of AgPtRh2 at the PBE level of DFT.

Properties
SG = No. 8
E_tot = -5.7652 eV/atom
crystal system = monoclinic
density = 13.751 g/cm3
ΔE to the lowest computed polymorph = 68 meV per atom
energy of formation = 0.1335 eV per atom

a = 4.8392 Å, b = 4.8392 Å, c = 4.8575 Å
α = 79.66°, β = 79.66°, γ = 33.36°
With the nearest neighbours (Å) after each atom.
Atoms (fractional coordinates):
Rh 0.2580 0.2580 0.2346  5 Rh 2.67-2.84, 4 Pt 2.73-2.87, 3 Ag 2.80-2.85
Rh 0.9972 0.9972 0.0075  5 Rh 2.67-2.84, 3 Pt 2.76-2.84, 4 Ag 2.78-2.82
Pt 0.7437 0.7437 0.7562  7 Rh 2.73-2.87, 3 Ag 2.76-2.84, 2 Pt 2.78
Ag 0.5011 0.5011 0.5016  3 Pt 2.76-2.84, 2 Ag 2.78, 7 Rh 2.78-2.85



[2]
Computed, not measured: an optimized crystal structure of Ag2PtRh at the PBE level of DFT.

Properties
SG = No. 25
E_tot = -4.6510 eV/atom
crystal system = orthorhombic
density = 13.038 g/cm3
ΔE to the lowest computed polymorph = 40 meV per atom
energy of formation = 0.1227 eV per atom

a = 2.8212 Å, b = 3.9886 Å, c = 5.8146 Å
α = 90.00°, β = 90.00°, γ = 90.00°
With the nearest neighbours (Å) after each atom.
Atoms (fractional coordinates):
Ag 0.0000 0.5000 0.2468  2 Rh 2.80-3.02, 6 Ag 2.82-2.83, 4 Pt 2.93
Ag 0.5000 0.0000 0.0015  2 Pt 2.77-3.04, 6 Ag 2.82-2.83, 4 Rh 2.92
Rh 0.0000 0.5000 0.7275  4 Pt 2.71, 6 Ag 2.80-3.02, 2 Rh 2.82
Pt 0.5000 0.0000 0.5242  4 Rh 2.71, 5 Ag 2.77-2.93, 2 Pt 2.82



[3]
Computed, not measured: an optimized crystal structure of AgPt2Rh at the PBE level of DFT.

Properties
SG = No. 25
E_tot = -5.4697 eV/atom
crystal system = orthorhombic
density = 15.829 g/cm3
ΔE to the lowest computed polymorph = 111 meV per atom
energy of formation = 0.1014 eV per atom

a = 2.7914 Å, b = 3.9449 Å, c = 5.7249 Å
α = 90.00°, β = 90.00°, γ = 90.00°
With the nearest neighbours (Å) after each atom.
Atoms (fractional coordinates):
Ag 0.5000 0.5000 0.7494  2 Ag 2.79, 6 Pt 2.81-2.91, 4 Rh 2.85
Pt 0.0000 0.0000 0.0072  2 Rh 2.74-2.99, 6 Pt 2.79-2.81, 4 Ag 2.83
Pt 0.5000 0.5000 0.2577  4 Rh 2.75, 6 Pt 2.79-2.81, 2 Ag 2.81-2.91
Rh 0.0000 0.0000 0.4857  6 Pt 2.74-2.99, 2 Rh 2.79, 4 Ag 2.85



[4]
Computed, not measured: an optimized crystal structure of AgPt2Rh at the PBE level of DFT.

Properties
SG = No. 225
E_tot = -5.3407 eV/atom
crystal system = cubic
density = 15.699 g/cm3
ΔE to the lowest computed polymorph = 240 meV per atom
energy of formation = 0.2304 eV per atom

a = 4.4796 Å, b = 4.4796 Å, c = 4.4796 Å
α = 60.00°, β = 60.00°, γ = 60.00°
With the nearest neighbours (Å) after each atom.
Atoms (fractional coordinates):
Ag 0.5000 0.5000 0.5000  8 Pt 2.74
Pt 0.7500 0.7500 0.7500  4 Ag 2.74, 4 Rh 2.74
Pt 0.2500 0.2500 0.2500  4 Rh 2.74, 4 Ag 2.74
Rh 0.0000 0.0000 0.0000  8 Pt 2.74



[5]
Computed, not measured: an optimized crystal structure of AgPt2Rh at the PBE level of DFT.

Properties
SG = No. 123
E_tot = -5.4262 eV/atom
crystal system = tetragonal
density = 15.671 g/cm3
ΔE to the lowest computed polymorph = 155 meV per atom
energy of formation = 0.1449 eV per atom

a = 4.7929 Å, b = 4.7929 Å, c = 2.7720 Å
α = 90.00°, β = 90.00°, γ = 90.00°
With the nearest neighbours (Å) after each atom.
Atoms (fractional coordinates):
Pt 0.5000 0.0000 0.0000  4 Rh 2.77, 4 Ag 2.77, 2 Pt 2.77
Pt 0.0000 0.5000 0.0000  4 Rh 2.77, 4 Ag 2.77, 2 Pt 2.77
Rh 0.5000 0.5000 0.5000  8 Pt 2.77, 2 Rh 2.77
Ag 0.0000 0.0000 0.5000  8 Pt 2.77, 2 Ag 2.77



[6]
Computed, not measured: an optimized crystal structure of AgPtRh2 at the PBE level of DFT.

Properties
SG = No. 119
E_tot = -5.7520 eV/atom
crystal system = tetragonal
density = 13.802 g/cm3
ΔE to the lowest computed polymorph = 82 meV per atom
energy of formation = 0.1467 eV per atom

a = 4.8204 Å, b = 4.8204 Å, c = 4.8204 Å
α = 131.68°, β = 131.68°, γ = 70.74°
With the nearest neighbours (Å) after each atom.
Atoms (fractional coordinates):
Rh 0.0000 0.0000 0.0000  4 Pt 2.78, 4 Rh 2.78, 4 Ag 2.79
Rh 0.2500 0.7500 0.5000  4 Ag 2.78, 4 Rh 2.78, 4 Pt 2.79
Pt 0.7500 0.2500 0.5000  8 Rh 2.78-2.79, 4 Ag 2.78
Ag 0.5000 0.5000 0.0000  4 Pt 2.78, 8 Rh 2.78-2.79



[7]
Computed, not measured: an optimized crystal structure of AgPt2Rh at the PBE level of DFT.

Properties
SG = No. 122
E_tot = -5.1562 eV/atom
crystal system = tetragonal
density = 14.538 g/cm3
ΔE to the lowest computed polymorph = 425 meV per atom
energy of formation = 0.4149 eV per atom

a = 3.8463 Å, b = 3.8463 Å, c = 9.6699 Å
α = 78.53°, β = 78.53°, γ = 90.00°
With the nearest neighbours (Å) after each atom.
Atoms (fractional coordinates):
Rh 0.2500 0.7500 0.5000  4 Pt 2.67, 4 Ag 2.72
Rh 0.5000 0.5000 0.0000  4 Pt 2.67, 4 Ag 2.72
Pt 0.3750 0.3865 0.7500  4 Pt 2.66-2.78, 2 Rh 2.67, 2 Ag 2.71
Pt 0.8750 0.8635 0.7500  4 Pt 2.66-2.78, 2 Rh 2.67, 2 Ag 2.71
Pt 0.6135 0.1250 0.2500  4 Pt 2.66-2.78, 2 Rh 2.67, 2 Ag 2.71
Pt 0.1365 0.6250 0.2500  4 Pt 2.66-2.78, 2 Rh 2.67, 2 Ag 2.71
Ag 0.0000 0.0000 0.0000  4 Pt 2.71, 4 Rh 2.72
Ag 0.7500 0.2500 0.5000  4 Pt 2.71, 4 Rh 2.72



[8]
Computed, not measured: an optimized crystal structure of Ag2PtRh at the PBE level of DFT.

Properties
SG = No. 35
E_tot = -4.6134 eV/atom
crystal system = orthorhombic
density = 13.009 g/cm3
ΔE to the lowest computed polymorph = 78 meV per atom
energy of formation = 0.1603 eV per atom

a = 2.7742 Å, b = 2.7742 Å, c = 9.7108 Å
α = 90.00°, β = 90.00°, γ = 118.66°
With the nearest neighbours (Å) after each atom.
Atoms (fractional coordinates):
Ag 0.5000 0.5000 0.7470  8 Ag 2.77-2.88, 2 Pt 2.85
Ag 0.0000 0.0000 0.0057  8 Ag 2.77-2.88, 2 Rh 2.80
Pt 0.0000 0.0000 0.4926  2 Rh 2.71, 6 Pt 2.77-2.83, 2 Ag 2.85
Rh 0.5000 0.5000 0.2547  2 Pt 2.71, 6 Rh 2.77-2.83, 2 Ag 2.80



- Which formula does entry 6 have?
  AgPtRh2